# 1
Here is a relaxed structure of NaGa4Sn from Alexandria. Energies are from PBE-GGA.

Summary:
Total magnetization, μB per formula unit: 0.00
Total DFT energy (no corrections), eV/atom: -2.949
Formation energy, kJ per mole of atoms: -4.24

abc: 4.3869 4.3869 8.4179
angles: 90.00 90.00 120.00
Space group P6/mmm (No. 191)
Asymmetric unit:
Na 0.0000 0.0000 0.0000 [1 per cell]
Ga 0.3333 0.6667 0.2574 [4 per cell]
Sn 0.0000 0.0000 0.5000 [1 per cell]

# 2
Here is a relaxed structure of MgCrIn2 from Alexandria. Energies are from PBE-GGA.

Summary:
Total magnetization, μB per formula unit: 3.86
Total DFT energy (no corrections), eV/atom: -3.994
Formation energy, kJ per mole of atoms: 17.38

abc: 3.165 3.165 8.445
angles: 90.00 90.00 90.00
Space group P4/mmm (No. 123)
Asymmetric unit:
Mg 0.000 0.000 0.000 [1 per cell]
Cr 0.000 0.000 0.500 [1 per cell]
In 0.500 0.500 0.269 [2 per cell]

Q: What is the formula in the second record?
A: MgCrIn2